Here is a crystal of HfNbTeI2 relaxed with PBEsol from Alexandria. Energies are from SCAN.

abc: 5.329 5.329 5.593
angles: 90.00 90.00 90.00
Site moments in Bohr magnetons follow the coordinates.
Fractional positions:
I 0.500 0.000 0.000  0.02
I 0.000 0.500 0.000  0.02
Te 0.500 0.500 0.500  -0.41
Hf 0.000 0.000 0.000  0.00
Nb 0.000 0.000 0.500  1.95

Results
space-group type	No. 123
D(E_F)	3.66	states/eV/f.u.
calculated total energy	-40.580	eV/atom
size of the total moment	1.91	μB per cell

---

Here is a crystal of Cr4MoBr relaxed with PBEsol from Alexandria. Energies are from SCAN.

abc: 4.811 4.811 4.811
angles: 60.00 60.00 60.00
Fractional positions:
Br 0.000 0.000 0.000
Cr 0.875 0.375 0.375
Cr 0.375 0.875 0.375
Cr 0.375 0.375 0.375
Cr 0.375 0.375 0.875
Mo 0.750 0.750 0.750

Results
space-group type	No. 216
D(E_F)	5.17	states/eV/f.u.
calculated total energy	-20.421	eV/atom
size of the total moment	0.00	μB per cell

---

The highest calculated total energy belongs to which entry?
Cr4MoBr